No. 1
DFT (PBE) results for an optimized crystal structure of Tb8Al2Hg.

Cell lengths 8.769, 8.769, 8.769 Å; angles 146.65, 122.78, 67.87 degrees
Sites, in units of the cell vectors:
Tb 0.123 0.339 0.783
Tb 0.141 0.141 0.000
Tb 0.315 0.000 0.315
Tb 0.444 0.661 0.783
Tb 0.556 0.339 0.217
Tb 0.685 0.000 0.685
Tb 0.859 0.859 0.000
Tb 0.877 0.661 0.217
Al 0.307 0.807 0.500
Al 0.693 0.193 0.500
Hg 0.000 0.500 0.500

The calculation puts the energy relative to the lowest polymorph listed for this composition at 36.7 kJ/mol of formula units.

No. 2
DFT (PBE) results for an optimized crystal structure of Tb9Ho2Mg.

Cell lengths 4.983, 4.983, 15.038 Å; angles 90.00, 90.00, 90.00 degrees
Sites, in units of the cell vectors:
Tb 0.000 0.000 0.000
Tb 0.000 0.000 0.330
Tb 0.000 0.000 0.670
Tb 0.000 0.500 0.165
Tb 0.000 0.500 0.500
Tb 0.000 0.500 0.835
Tb 0.500 0.000 0.165
Tb 0.500 0.000 0.500
Tb 0.500 0.000 0.835
Ho 0.500 0.500 0.331
Ho 0.500 0.500 0.669
Mg 0.500 0.500 0.000

As for the uncorrected energy: -52.20 eV per cell.

Number 1: mass density 8.24 g/cm³, total moment 0.000 μB per cell. Number 2: mass density 7.94 g/cm³, total moment 0.000 μB per cell.